Entry 1:
A plane-wave DFT calculation with PBE was carried out for an optimized crystal structure of CeZn3Pd3.

abc: 8.3491 8.3491 8.3491
angles: 60.00 60.00 60.00
Sites, in units of the cell vectors:
1 Ce 0.2500 0.2500 0.2500
2 Ce 0.7500 0.7500 0.7500
3 Zn 0.1497 0.1497 0.8503
4 Zn 0.1497 0.8503 0.1497
5 Zn 0.1497 0.8503 0.8503
6 Zn 0.8503 0.1497 0.1497
7 Zn 0.8503 0.1497 0.8503
8 Zn 0.8503 0.8503 0.1497
9 Pd 0.3420 0.3420 0.6580
10 Pd 0.3420 0.6580 0.3420
11 Pd 0.3420 0.6580 0.6580
12 Pd 0.6580 0.3420 0.3420
13 Pd 0.6580 0.3420 0.6580
14 Pd 0.6580 0.6580 0.3420

## Properties
ΔE_f	0.588	eV/atom
space-group type	Fm-3m

Entry 2:
A plane-wave DFT calculation with PBE was carried out for an optimized crystal structure of Nd4SnPd2.

abc: 7.1627 7.2264 9.0007
angles: 107.94 107.65 103.61
Sites, in units of the cell vectors:
1 Nd 0.0000 0.0000 0.0000
2 Nd 0.0093 0.5104 0.0211
3 Nd 0.1304 0.3051 0.4527
4 Nd 0.4031 0.2461 0.8562
5 Nd 0.5367 0.8329 0.5899
6 Nd 0.5578 0.8997 0.1646
7 Nd 0.6875 0.3622 0.5674
8 Nd 0.9576 0.7538 0.4321
9 Sn 0.2076 0.7091 0.7809
10 Sn 0.4372 0.4403 0.2403
11 Pd 0.2693 0.9641 0.3353
12 Pd 0.6006 0.6328 0.8437
13 Pd 0.7662 0.2994 0.1773
14 Pd 0.9448 0.1404 0.6860

## Properties
ΔE_f	-0.642	eV/atom
space-group type	P1

Entry 3:
A plane-wave DFT calculation with PBE was carried out for an optimized crystal structure of Cu5PdO8.

abc: 5.9601 5.9601 5.9601
angles: 60.00 60.00 60.00
Sites, in units of the cell vectors:
1 Cu 0.0000 0.0000 0.0000
2 Cu 0.1218 0.6261 0.6261
3 Cu 0.6261 0.1218 0.6261
4 Cu 0.6261 0.6261 0.1218
5 Cu 0.6261 0.6261 0.6261
6 Pd 0.2500 0.2500 0.2500
7 O 0.3885 0.3885 0.3885
8 O 0.3885 0.3885 0.8344
9 O 0.3885 0.8344 0.3885
10 O 0.4032 0.8656 0.8656
11 O 0.8344 0.3885 0.3885
12 O 0.8656 0.4032 0.8656
13 O 0.8656 0.8656 0.4032
14 O 0.8656 0.8656 0.8656

## Properties
space-group type	F-43m
ΔE_f (raw)	-364	meV per atom

Entry 4:
A plane-wave DFT calculation with PBE was carried out for an optimized crystal structure of Er3Tm4Sc3.

abc: 3.5770 8.9717 8.9717
angles: 89.52 90.00 90.00
Sites, in units of the cell vectors:
1 Er 0.0000 0.0000 0.0000
2 Er 0.5000 0.3316 0.8287
3 Er 0.5000 0.8287 0.3316
4 Tm 0.5000 0.2070 0.2070
5 Tm 0.5000 0.4600 0.4600
6 Tm 0.5000 0.6949 0.9547
7 Tm 0.5000 0.9547 0.6949
8 Sc 0.0000 0.1618 0.5010
9 Sc 0.0000 0.5010 0.1618
10 Sc 0.0000 0.6593 0.6593

## Properties
ΔE_f	0.085	eV/atom
space-group type	Amm2

Entry 5:
A plane-wave DFT calculation with PBE was carried out for an optimized crystal structure of BeRe2.

abc: 9.2896 2.8707 6.1803
angles: 90.00 110.97 90.00
Sites, in units of the cell vectors:
1 Be 0.1869 0.0000 0.0706
2 Be 0.3131 0.5000 0.9294
3 Be 0.6869 0.5000 0.0706
4 Be 0.8131 0.0000 0.9294
5 Re 0.0151 0.5000 0.2198
6 Re 0.1617 0.0000 0.6047
7 Re 0.3383 0.5000 0.3953
8 Re 0.4849 0.0000 0.7802
9 Re 0.5151 0.0000 0.2198
10 Re 0.6617 0.5000 0.6047
11 Re 0.8383 0.0000 0.3953
12 Re 0.9849 0.5000 0.7802

## Properties
ΔE_f	-0.014	eV/atom
space-group type	C2/m

Entry 6:
A plane-wave DFT calculation with PBE was carried out for an optimized crystal structure of Ca2InGa4Cu3.

abc: 4.2052 4.2052 10.9017
angles: 90.00 90.00 90.00
Sites, in units of the cell vectors:
1 Ca 0.0000 0.5000 0.2364
2 Ca 0.5000 0.0000 0.7636
3 In 0.0000 0.0000 0.5000
4 Ga 0.0000 0.0000 0.0000
5 Ga 0.0000 0.5000 0.6545
6 Ga 0.5000 0.0000 0.3455
7 Ga 0.5000 0.5000 0.0000
8 Cu 0.0000 0.5000 0.8750
9 Cu 0.5000 0.0000 0.1250
10 Cu 0.5000 0.5000 0.5000

## Properties
ΔE_f	-0.313	eV/atom
space-group type	P-4m2

Entry 7:
A plane-wave DFT calculation with PBE was carried out for an optimized crystal structure of Er3PuRu8.

abc: 9.2189 9.2189 9.2189
angles: 33.48 33.48 33.48
Sites, in units of the cell vectors:
1 Er 0.0000 0.0000 0.0000
2 Er 0.1247 0.1247 0.1247
3 Er 0.6249 0.6249 0.6249
4 Pu 0.4999 0.4999 0.4999
5 Ru 0.0625 0.5626 0.5626
6 Ru 0.0629 0.0629 0.5613
7 Ru 0.0629 0.5613 0.0629
8 Ru 0.3128 0.3128 0.3128
9 Ru 0.5613 0.0629 0.0629
10 Ru 0.5626 0.0625 0.5626
11 Ru 0.5626 0.5626 0.0625
12 Ru 0.8130 0.8130 0.8130

## Properties
ΔE_f	-0.271	eV/atom
space-group type	R3m

Entry 8:
A plane-wave DFT calculation with PBE was carried out for an optimized crystal structure of Ti2SnS.

abc: 5.8583 5.8583 11.6315
angles: 90.00 90.00 90.00
Sites, in units of the cell vectors:
1 Ti 0.1927 0.2500 0.1250
2 Ti 0.2500 0.6927 0.3750
3 Ti 0.2500 0.8073 0.8750
4 Ti 0.3073 0.2500 0.6250
5 Ti 0.6927 0.7500 0.6250
6 Ti 0.7500 0.1927 0.8750
7 Ti 0.7500 0.3073 0.3750
8 Ti 0.8073 0.7500 0.1250
9 Sn 0.0000 0.0000 0.5000
10 Sn 0.0000 0.5000 0.7500
11 Sn 0.5000 0.0000 0.2500
12 Sn 0.5000 0.5000 0.0000
13 S 0.0000 0.0000 0.0000
14 S 0.0000 0.5000 0.2500
15 S 0.5000 0.0000 0.7500
16 S 0.5000 0.5000 0.5000

## Properties
space-group type	I-42d
ΔE_f (raw)	-135	meV per atom

Entry 9:
A plane-wave DFT calculation with PBE was carried out for an optimized crystal structure of AlAsAu.

abc: 6.2685 6.2685 6.2685
angles: 90.00 90.00 90.00
Sites, in units of the cell vectors:
1 Al 0.0000 0.0000 0.0000
2 Al 0.0000 0.5000 0.5000
3 Al 0.5000 0.0000 0.5000
4 Al 0.5000 0.5000 0.0000
5 As 0.0000 0.0000 0.5000
6 As 0.0000 0.5000 0.0000
7 As 0.5000 0.0000 0.0000
8 As 0.5000 0.5000 0.5000
9 Au 0.2500 0.2500 0.7500
10 Au 0.2500 0.7500 0.2500
11 Au 0.7500 0.2500 0.2500
12 Au 0.7500 0.7500 0.7500

## Properties
ΔE_f	-0.045	eV/atom
space-group type	F-43m

Entry 10:
A plane-wave DFT calculation with PBE was carried out for an optimized crystal structure of MgAlNi.

abc: 8.6742 2.8660 9.0254
angles: 90.00 113.80 90.00
Sites, in units of the cell vectors:
1 Mg 0.1947 0.0000 0.1245
2 Mg 0.3053 0.5000 0.8755
3 Mg 0.6947 0.5000 0.1245
4 Mg 0.8053 0.0000 0.8755
5 Al 0.0123 0.0000 0.3472
6 Al 0.4877 0.5000 0.6528
7 Al 0.5123 0.5000 0.3472
8 Al 0.9877 0.0000 0.6528
9 Ni 0.2491 0.0000 0.6168
10 Ni 0.2509 0.5000 0.3832
11 Ni 0.7491 0.5000 0.6168
12 Ni 0.7509 0.0000 0.3832

## Properties
ΔE_f	-0.150	eV/atom
space-group type	C2/m

Entry 11:
A plane-wave DFT calculation with PBE was carried out for an optimized crystal structure of AgSbRh2.

abc: 3.0267 4.0499 5.6099
angles: 90.00 90.00 90.00
Sites, in units of the cell vectors:
1 Ag 0.0000 0.0000 0.0000
2 Sb 0.5000 0.5000 0.6843
3 Rh 0.0000 0.0000 0.4868
4 Rh 0.5000 0.5000 0.2125

## Properties
space-group type	Pmm2
ΔE_f (raw)	74	meV per atom

Entry 12:
A plane-wave DFT calculation with PBE was carried out for an optimized crystal structure of Sr3Al4Cd2.

abc: 6.3305 6.3305 9.3343
angles: 105.91 105.91 44.37
Sites, in units of the cell vectors:
1 Sr 0.0000 0.0000 0.0000
2 Sr 0.3570 0.3570 0.3157
3 Sr 0.6430 0.6430 0.6843
4 Al 0.0822 0.0822 0.4199
5 Al 0.2702 0.2702 0.9398
6 Al 0.7298 0.7298 0.0602
7 Al 0.9178 0.9178 0.5801
8 Cd 0.3464 0.3464 0.6819
9 Cd 0.6536 0.6536 0.3181

## Properties
ΔE_f	-0.234	eV/atom
space-group type	C2/m

Number 1: size of the total moment 1.55 μB per formula unit, V 29.40 Å³ per atom. Number 2: size of the total moment 0.00 μB per formula unit, V 28.12 Å³ per atom. Number 3: size of the total moment 3.79 μB per formula unit, V 10.69 Å³ per atom. Number 4: size of the total moment 0.00 μB per formula unit, V 28.79 Å³ per atom. Number 5: size of the total moment 0.00 μB per formula unit, V 12.82 Å³ per atom. Number 6: size of the total moment 0.00 μB per formula unit, V 19.28 Å³ per atom. Number 7: size of the total moment 3.12 μB per formula unit, V 17.69 Å³ per atom. Number 8: size of the total moment 0.97 μB per formula unit, V 24.95 Å³ per atom. Number 9: size of the total moment 0.00 μB per formula unit, V 20.53 Å³ per atom. Number 10: size of the total moment 0.00 μB per formula unit, V 17.11 Å³ per atom. Number 11: size of the total moment 0.00 μB per formula unit, V 17.19 Å³ per atom. Number 12: size of the total moment 0.00 μB per formula unit, V 27.76 Å³ per atom.